# 1
## NdBiSeO2 (PBE)

Data for crystalline NdBiSeO2 at its relaxed geometry.

Its symmetry is I4mm (107). For the total energy, the calculation gives -5.4377 eV per atom.

The structure in CIF format:
```
data_NdBiSeO2
_cell_length_a 7.092
_cell_length_b 7.092
_cell_length_c 7.092
_cell_angle_alpha 147.68
_cell_angle_beta 147.68
_cell_angle_gamma 46.36
_symmetry_space_group_name_H-M 'P 1'
_symmetry_Int_Tables_number 1
_symmetry_space_group_name_Hall 'P 1'
loop_
_atom_site_label
_atom_site_fract_x
_atom_site_fract_y
_atom_site_fract_z
Nd1 0.000 0.000 0.000
Bi1 0.680 0.680 0.000
Se1 0.331 0.331 0.000
O1 0.402 0.902 0.500
O2 0.902 0.402 0.500
```

***

# 2
## NdSn2BiO6 (PBE)

Data for crystalline NdSn2BiO6 at its relaxed geometry.

Its symmetry is C2/m (12). For the total energy, the calculation gives -6.1788 eV per atom.

The structure in CIF format:
```
data_NdSn2BiO6
_cell_length_a 5.923
_cell_length_b 5.923
_cell_length_c 6.322
_cell_angle_alpha 119.06
_cell_angle_beta 119.06
_cell_angle_gamma 60.60
_symmetry_space_group_name_H-M 'P 1'
_symmetry_Int_Tables_number 1
_symmetry_space_group_name_Hall 'P 1'
loop_
_atom_site_label
_atom_site_fract_x
_atom_site_fract_y
_atom_site_fract_z
Nd1 0.000 0.000 0.000
Sn1 0.242 0.242 0.678
Sn2 0.758 0.758 0.322
Bi1 0.500 0.500 0.500
O1 0.181 0.660 0.664
O2 0.270 0.270 0.183
O3 0.340 0.819 0.336
O4 0.660 0.181 0.664
O5 0.730 0.730 0.817
O6 0.819 0.340 0.336
```

***

# 3
## Sr2NdBiO6 (PBE)

Data for crystalline Sr2NdBiO6 at its relaxed geometry.

Its symmetry is P2_1/c (14). For the total energy, the calculation gives -6.5606 eV per atom.

The structure in CIF format:
```
data_Sr2NdBiO6
_cell_length_a 5.948
_cell_length_b 6.124
_cell_length_c 10.355
_cell_angle_alpha 90.00
_cell_angle_beta 124.77
_cell_angle_gamma 90.00
_symmetry_space_group_name_H-M 'P 1'
_symmetry_Int_Tables_number 1
_symmetry_space_group_name_Hall 'P 1'
loop_
_atom_site_label
_atom_site_fract_x
_atom_site_fract_y
_atom_site_fract_z
Sr1 0.237 0.049 0.251
Sr2 0.237 0.451 0.751
Sr3 0.763 0.549 0.249
Sr4 0.763 0.951 0.749
Nd1 0.500 0.000 0.000
Nd2 0.500 0.500 0.500
Bi1 0.000 0.000 0.500
Bi2 0.000 0.500 0.000
O1 0.127 0.213 0.941
O2 0.127 0.287 0.441
O3 0.235 0.691 0.947
O4 0.235 0.809 0.447
O5 0.342 0.043 0.737
O6 0.342 0.457 0.237
O7 0.658 0.543 0.763
O8 0.658 0.957 0.263
O9 0.765 0.191 0.553
O10 0.765 0.309 0.053
O11 0.873 0.713 0.559
O12 0.873 0.787 0.059
```

***

# 4
## Nd2TmBiO6 (PBE)

Data for crystalline Nd2TmBiO6 at its relaxed geometry.

Its symmetry is P1 (1). For the total energy, the calculation gives -7.6221 eV per atom.

The structure in CIF format:
```
data_Nd2TmBiO6
_cell_length_a 3.558
_cell_length_b 5.849
_cell_length_c 7.312
_cell_angle_alpha 91.61
_cell_angle_beta 102.89
_cell_angle_gamma 90.86
_symmetry_space_group_name_H-M 'P 1'
_symmetry_Int_Tables_number 1
_symmetry_space_group_name_Hall 'P 1'
loop_
_atom_site_label
_atom_site_fract_x
_atom_site_fract_y
_atom_site_fract_z
Nd1 0.000 0.000 0.000
Nd2 0.265 0.932 0.517
Tm1 0.629 0.458 0.258
Bi1 0.899 0.488 0.796
O1 0.111 0.697 0.205
O2 0.139 0.216 0.288
O3 0.425 0.790 0.845
O4 0.489 0.288 0.972
O5 0.763 0.655 0.523
O6 0.832 0.147 0.652
```

***

# 5
## Nd3Bi2P (PBE)

Data for crystalline Nd3Bi2P at its relaxed geometry.

Its symmetry is P-3m1 (164). For the total energy, the calculation gives -5.7550 eV per atom.

The structure in CIF format:
```
data_Nd3Bi2P
_cell_length_a 4.411
_cell_length_b 4.411
_cell_length_c 11.133
_cell_angle_alpha 90.00
_cell_angle_beta 90.00
_cell_angle_gamma 120.00
_symmetry_space_group_name_H-M 'P 1'
_symmetry_Int_Tables_number 1
_symmetry_space_group_name_Hall 'P 1'
loop_
_atom_site_label
_atom_site_fract_x
_atom_site_fract_y
_atom_site_fract_z
Nd1 0.000 0.000 0.000
Nd2 0.333 0.667 0.358
Nd3 0.667 0.333 0.642
Bi1 0.333 0.667 0.823
Bi2 0.667 0.333 0.177
P1 0.000 0.000 0.500
```

***

# 6
## Nd3PaBi5 (PBE)

Data for crystalline Nd3PaBi5 at its relaxed geometry.

Its symmetry is P6_3/mcm (193). For the total energy, the calculation gives -5.5959 eV per atom.

The structure in CIF format:
```
data_Nd3PaBi5
_cell_length_a 9.949
_cell_length_b 9.949
_cell_length_c 6.469
_cell_angle_alpha 90.00
_cell_angle_beta 90.00
_cell_angle_gamma 120.00
_symmetry_space_group_name_H-M 'P 1'
_symmetry_Int_Tables_number 1
_symmetry_space_group_name_Hall 'P 1'
loop_
_atom_site_label
_atom_site_fract_x
_atom_site_fract_y
_atom_site_fract_z
Nd1 0.000 0.383 0.250
Nd2 0.000 0.617 0.750
Nd3 0.383 0.000 0.250
Nd4 0.383 0.383 0.750
Nd5 0.617 0.000 0.750
Nd6 0.617 0.617 0.250
Pa1 0.000 0.000 0.000
Pa2 0.000 0.000 0.500
Bi1 0.000 0.275 0.750
Bi2 0.000 0.725 0.250
Bi3 0.275 0.000 0.750
Bi4 0.275 0.275 0.250
Bi5 0.333 0.667 0.000
Bi6 0.333 0.667 0.500
Bi7 0.667 0.333 0.000
Bi8 0.667 0.333 0.500
Bi9 0.725 0.000 0.250
Bi10 0.725 0.725 0.750
```

***

# 7
## NdBiPbSe3 (PBE)

Data for crystalline NdBiPbSe3 at its relaxed geometry.

Its symmetry is Cmcm (63). For the total energy, the calculation gives -4.6684 eV per atom.

The structure in CIF format:
```
data_NdBiPbSe3
_cell_length_a 7.752
_cell_length_b 7.752
_cell_length_c 11.846
_cell_angle_alpha 90.00
_cell_angle_beta 90.00
_cell_angle_gamma 148.65
_symmetry_space_group_name_H-M 'P 1'
_symmetry_Int_Tables_number 1
_symmetry_space_group_name_Hall 'P 1'
loop_
_atom_site_label
_atom_site_fract_x
_atom_site_fract_y
_atom_site_fract_z
Nd1 0.000 0.000 0.000
Nd2 0.000 0.000 0.500
Bi1 0.361 0.639 0.750
Bi2 0.639 0.361 0.250
Pb1 0.327 0.673 0.250
Pb2 0.673 0.327 0.750
Se1 0.024 0.976 0.750
Se2 0.362 0.638 0.505
Se3 0.362 0.638 0.995
Se4 0.638 0.362 0.005
Se5 0.638 0.362 0.495
Se6 0.976 0.024 0.250
```

***

# 8
## PrNdBi4Pd2 (PBE)

Data for crystalline PrNdBi4Pd2 at its relaxed geometry.

Its symmetry is P4mm (99). For the total energy, the calculation gives -5.1966 eV per atom.

The structure in CIF format:
```
data_PrNdBi4Pd2
_cell_length_a 4.676
_cell_length_b 4.676
_cell_length_c 9.747
_cell_angle_alpha 90.00
_cell_angle_beta 90.00
_cell_angle_gamma 90.00
_symmetry_space_group_name_H-M 'P 1'
_symmetry_Int_Tables_number 1
_symmetry_space_group_name_Hall 'P 1'
loop_
_atom_site_label
_atom_site_fract_x
_atom_site_fract_y
_atom_site_fract_z
Pr1 0.000 0.000 0.000
Nd1 0.500 0.500 0.466
Bi1 0.000 0.000 0.398
Bi2 0.000 0.500 0.732
Bi3 0.500 0.000 0.732
Bi4 0.500 0.500 0.072
Pd1 0.000 0.500 0.235
Pd2 0.500 0.000 0.235
```

***

# 9
## Pr3Nd2Bi3 (PBE)

Data for crystalline Pr3Nd2Bi3 at its relaxed geometry.

Its symmetry is P6_3/mcm (193). For the total energy, the calculation gives -5.2978 eV per atom.

The structure in CIF format:
```
data_Pr3Nd2Bi3
_cell_length_a 9.539
_cell_length_b 9.539
_cell_length_c 6.614
_cell_angle_alpha 90.00
_cell_angle_beta 90.00
_cell_angle_gamma 120.00
_symmetry_space_group_name_H-M 'P 1'
_symmetry_Int_Tables_number 1
_symmetry_space_group_name_Hall 'P 1'
loop_
_atom_site_label
_atom_site_fract_x
_atom_site_fract_y
_atom_site_fract_z
Pr1 0.000 0.247 0.250
Pr2 0.000 0.753 0.750
Pr3 0.247 0.000 0.250
Pr4 0.247 0.247 0.750
Pr5 0.753 0.000 0.750
Pr6 0.753 0.753 0.250
Nd1 0.333 0.667 0.000
Nd2 0.333 0.667 0.500
Nd3 0.667 0.333 0.000
Nd4 0.667 0.333 0.500
Bi1 0.000 0.388 0.750
Bi2 0.000 0.612 0.250
Bi3 0.388 0.000 0.750
Bi4 0.388 0.388 0.250
Bi5 0.612 0.000 0.250
Bi6 0.612 0.612 0.750
```

***

# 10
## PrNd2Bi3 (PBE)

Data for crystalline PrNd2Bi3 at its relaxed geometry.

Its symmetry is P-3m1 (164). For the total energy, the calculation gives -5.3768 eV per atom.

The structure in CIF format:
```
data_PrNd2Bi3
_cell_length_a 4.592
_cell_length_b 4.592
_cell_length_c 11.317
_cell_angle_alpha 90.00
_cell_angle_beta 90.00
_cell_angle_gamma 120.00
_symmetry_space_group_name_H-M 'P 1'
_symmetry_Int_Tables_number 1
_symmetry_space_group_name_Hall 'P 1'
loop_
_atom_site_label
_atom_site_fract_x
_atom_site_fract_y
_atom_site_fract_z
Pr1 0.000 0.000 0.000
Nd1 0.333 0.667 0.333
Nd2 0.667 0.333 0.667
Bi1 0.000 0.000 0.500
Bi2 0.333 0.667 0.833
Bi3 0.667 0.333 0.167
```

***

# 11
## Pr4NdBi5 (PBE)

Data for crystalline Pr4NdBi5 at its relaxed geometry.

Its symmetry is I4/mmm (139). For the total energy, the calculation gives -5.3850 eV per atom.

The structure in CIF format:
```
data_Pr4NdBi5
_cell_length_a 16.654
_cell_length_b 16.654
_cell_length_c 16.654
_cell_angle_alpha 164.06
_cell_angle_beta 164.06
_cell_angle_gamma 22.62
_symmetry_space_group_name_H-M 'P 1'
_symmetry_Int_Tables_number 1
_symmetry_space_group_name_Hall 'P 1'
loop_
_atom_site_label
_atom_site_fract_x
_atom_site_fract_y
_atom_site_fract_z
Pr1 0.100 0.100 0.000
Pr2 0.300 0.300 0.000
Pr3 0.700 0.700 0.000
Pr4 0.900 0.900 0.000
Nd1 0.500 0.500 0.000
Bi1 0.000 0.000 0.000
Bi2 0.200 0.200 0.000
Bi3 0.400 0.400 0.000
Bi4 0.600 0.600 0.000
Bi5 0.800 0.800 0.000
```

***

# 12
## Pr2NdBi3 (PBE)

Data for crystalline Pr2NdBi3 at its relaxed geometry.

Its symmetry is P-3m1 (164). For the total energy, the calculation gives -5.3820 eV per atom.

The structure in CIF format:
```
data_Pr2NdBi3
_cell_length_a 4.602
_cell_length_b 4.602
_cell_length_c 11.342
_cell_angle_alpha 90.00
_cell_angle_beta 90.00
_cell_angle_gamma 120.00
_symmetry_space_group_name_H-M 'P 1'
_symmetry_Int_Tables_number 1
_symmetry_space_group_name_Hall 'P 1'
loop_
_atom_site_label
_atom_site_fract_x
_atom_site_fract_y
_atom_site_fract_z
Pr1 0.333 0.667 0.333
Pr2 0.667 0.333 0.667
Nd1 0.000 0.000 0.000
Bi1 0.000 0.000 0.500
Bi2 0.333 0.667 0.834
Bi3 0.667 0.333 0.166
```

***

# 13
## PrNdBi4 (PBE)

Data for crystalline PrNdBi4 at its relaxed geometry.

Its symmetry is Amm2 (38). For the total energy, the calculation gives -4.9423 eV per atom.

The structure in CIF format:
```
data_PrNdBi4
_cell_length_a 4.653
_cell_length_b 8.983
_cell_length_c 8.983
_cell_angle_alpha 29.95
_cell_angle_beta 90.00
_cell_angle_gamma 90.00
_symmetry_space_group_name_H-M 'P 1'
_symmetry_Int_Tables_number 1
_symmetry_space_group_name_Hall 'P 1'
loop_
_atom_site_label
_atom_site_fract_x
_atom_site_fract_y
_atom_site_fract_z
Pr1 0.000 0.000 0.000
Nd1 0.500 0.203 0.203
Bi1 0.000 0.351 0.351
Bi2 0.000 0.672 0.672
Bi3 0.500 0.531 0.531
Bi4 0.500 0.851 0.851
```

***

# 14
## PrNdBi2Se2 (PBE)

Data for crystalline PrNdBi2Se2 at its relaxed geometry.

Its symmetry is P4mm (99). For the total energy, the calculation gives -5.3923 eV per atom.

The structure in CIF format:
```
data_PrNdBi2Se2
_cell_length_a 4.346
_cell_length_b 4.346
_cell_length_c 9.231
_cell_angle_alpha 90.00
_cell_angle_beta 90.00
_cell_angle_gamma 90.00
_symmetry_space_group_name_H-M 'P 1'
_symmetry_Int_Tables_number 1
_symmetry_space_group_name_Hall 'P 1'
loop_
_atom_site_label
_atom_site_fract_x
_atom_site_fract_y
_atom_site_fract_z
Pr1 0.000 0.000 0.000
Nd1 0.500 0.500 0.609
Bi1 0.000 0.500 0.305
Bi2 0.500 0.000 0.305
Se1 0.000 0.000 0.674
Se2 0.500 0.500 0.935
```

***

# 15
## PrNdBi2Te2 (PBE)

Data for crystalline PrNdBi2Te2 at its relaxed geometry.

Its symmetry is P4mm (99). For the total energy, the calculation gives -5.0892 eV per atom.

The structure in CIF format:
```
data_PrNdBi2Te2
_cell_length_a 4.469
_cell_length_b 4.469
_cell_length_c 9.597
_cell_angle_alpha 90.00
_cell_angle_beta 90.00
_cell_angle_gamma 90.00
_symmetry_space_group_name_H-M 'P 1'
_symmetry_Int_Tables_number 1
_symmetry_space_group_name_Hall 'P 1'
loop_
_atom_site_label
_atom_site_fract_x
_atom_site_fract_y
_atom_site_fract_z
Pr1 0.000 0.000 0.000
Nd1 0.500 0.500 0.568
Bi1 0.000 0.500 0.284
Bi2 0.500 0.000 0.284
Te1 0.000 0.000 0.657
Te2 0.500 0.500 0.910
```

***

# 16
## NdBi2Pt2 (PBE)

Data for crystalline NdBi2Pt2 at its relaxed geometry.

Its symmetry is P4/nmm (129). For the total energy, the calculation gives -5.5238 eV per atom.

The structure in CIF format:
```
data_NdBi2Pt2
_cell_length_a 4.833
_cell_length_b 4.833
_cell_length_c 10.848
_cell_angle_alpha 90.00
_cell_angle_beta 90.00
_cell_angle_gamma 90.00
_symmetry_space_group_name_H-M 'P 1'
_symmetry_Int_Tables_number 1
_symmetry_space_group_name_Hall 'P 1'
loop_
_atom_site_label
_atom_site_fract_x
_atom_site_fract_y
_atom_site_fract_z
Nd1 0.250 0.250 0.220
Nd2 0.750 0.750 0.780
Bi1 0.250 0.250 0.874
Bi2 0.250 0.750 0.500
Bi3 0.750 0.250 0.500
Bi4 0.750 0.750 0.126
Pt1 0.250 0.250 0.630
Pt2 0.250 0.750 0.000
Pt3 0.750 0.250 0.000
Pt4 0.750 0.750 0.370
```

***

# 17
## Nd3Bi4Pt7 (PBE)

Data for crystalline Nd3Bi4Pt7 at its relaxed geometry.

Its symmetry is C2/m (12). For the total energy, the calculation gives -5.9008 eV per atom.

The structure in CIF format:
```
data_Nd3Bi4Pt7
_cell_length_a 8.728
_cell_length_b 8.728
_cell_length_c 10.982
_cell_angle_alpha 127.40
_cell_angle_beta 127.40
_cell_angle_gamma 29.01
_symmetry_space_group_name_H-M 'P 1'
_symmetry_Int_Tables_number 1
_symmetry_space_group_name_Hall 'P 1'
loop_
_atom_site_label
_atom_site_fract_x
_atom_site_fract_y
_atom_site_fract_z
Nd1 0.000 0.000 0.000
Nd2 0.330 0.330 0.316
Nd3 0.670 0.670 0.684
Bi1 0.145 0.145 0.414
Bi2 0.328 0.328 0.980
Bi3 0.672 0.672 0.020
Bi4 0.855 0.855 0.586
Pt1 0.000 0.000 0.500
Pt2 0.112 0.112 0.826
Pt3 0.346 0.346 0.752
Pt4 0.482 0.482 0.660
Pt5 0.518 0.518 0.340
Pt6 0.654 0.654 0.248
Pt7 0.888 0.888 0.174
```

***

# 18
## NdPuBi (PBE)

Data for crystalline NdPuBi at its relaxed geometry.

Its symmetry is F-43m (216). For the total energy, the calculation gives -7.5379 eV per atom.

The structure in CIF format:
```
data_NdPuBi
_cell_length_a 5.349
_cell_length_b 5.349
_cell_length_c 5.349
_cell_angle_alpha 60.00
_cell_angle_beta 60.00
_cell_angle_gamma 60.00
_symmetry_space_group_name_H-M 'P 1'
_symmetry_Int_Tables_number 1
_symmetry_space_group_name_Hall 'P 1'
loop_
_atom_site_label
_atom_site_fract_x
_atom_site_fract_y
_atom_site_fract_z
Nd1 0.000 0.000 0.000
Pu1 0.750 0.750 0.750
Bi1 0.250 0.250 0.250
```

***

# 19
## Nd3Bi2S (PBE)

Data for crystalline Nd3Bi2S at its relaxed geometry.

Its symmetry is P-3m1 (164). For the total energy, the calculation gives -5.6851 eV per atom.

The structure in CIF format:
```
data_Nd3Bi2S
_cell_length_a 4.422
_cell_length_b 4.422
_cell_length_c 10.868
_cell_angle_alpha 90.00
_cell_angle_beta 90.00
_cell_angle_gamma 120.00
_symmetry_space_group_name_H-M 'P 1'
_symmetry_Int_Tables_number 1
_symmetry_space_group_name_Hall 'P 1'
loop_
_atom_site_label
_atom_site_fract_x
_atom_site_fract_y
_atom_site_fract_z
Nd1 0.000 0.000 0.000
Nd2 0.333 0.667 0.359
Nd3 0.667 0.333 0.641
Bi1 0.333 0.667 0.821
Bi2 0.667 0.333 0.179
S1 0.000 0.000 0.500
```

***

# 20
## NdBi3S6 (PBE)

Data for crystalline NdBi3S6 at its relaxed geometry.

Its symmetry is P2_1/m (11). For the total energy, the calculation gives -4.9553 eV per atom.

The structure in CIF format:
```
data_NdBi3S6
_cell_length_a 11.697
_cell_length_b 4.030
_cell_length_c 11.698
_cell_angle_alpha 90.00
_cell_angle_beta 106.52
_cell_angle_gamma 90.00
_symmetry_space_group_name_H-M 'P 1'
_symmetry_Int_Tables_number 1
_symmetry_space_group_name_Hall 'P 1'
loop_
_atom_site_label
_atom_site_fract_x
_atom_site_fract_y
_atom_site_fract_z
Nd1 0.189 0.250 0.040
Nd2 0.811 0.750 0.960
Bi1 0.020 0.750 0.303
Bi2 0.335 0.250 0.432
Bi3 0.406 0.750 0.846
Bi4 0.594 0.250 0.154
Bi5 0.665 0.750 0.568
Bi6 0.980 0.250 0.697
S1 0.037 0.750 0.893
S2 0.115 0.250 0.464
S3 0.221 0.750 0.237
S4 0.250 0.250 0.808
S5 0.388 0.750 0.068
S6 0.413 0.750 0.589
S7 0.587 0.250 0.411
S8 0.612 0.250 0.932
S9 0.750 0.750 0.192
S10 0.779 0.250 0.763
S11 0.885 0.750 0.536
S12 0.963 0.250 0.107
```